#P
This record from the Alexandria database describes an optimized crystal structure of DyTmPdRh. The functional is PBE-GGA.

Calculated volume = 20.397 A^3/atom
Fermi-level density of states = 1.68 states/eV per cell

Geometry as CIF:
```
data_DyTmPdRh
_chemical_formula_sum 'Dy1 Tm1 Pd1 Rh1'
_space_group_name_H-M_alt 'P 4 m m'
_space_group_IT_number 99
_cell_length_a 3.436
_cell_length_b 3.436
_cell_length_c 6.912
_cell_angle_alpha 90.00
_cell_angle_beta 90.00
_cell_angle_gamma 90.00
loop_
_space_group_symop_operation_xyz
'x,y,z'
'-y,x,z'
'-x,-y,z'
'y,-x,z'
'-x,y,z'
'y,x,z'
'x,-y,z'
'-y,-x,z'
loop_
_atom_site_label
_atom_site_type_symbol
_atom_site_fract_x
_atom_site_fract_y
_atom_site_fract_z
_atom_site_occupancy
Dy1 Dy 0.000 0.000 0.000 1
Tm1 Tm 0.000 0.000 0.482 1
Pd1 Pd 0.500 0.500 0.735 1
Rh1 Rh 0.500 0.500 0.246 1
```



#Q
This record from the Alexandria database describes an optimized crystal structure of DyTmPdRh. The functional is PBE-GGA.

Calculated volume = 20.400 A^3/atom
Fermi-level density of states = 6.62 states/eV per cell

Geometry as CIF:
```
data_DyTmPdRh
_chemical_formula_sum 'Dy4 Tm4 Pd4 Rh4'
_space_group_name_H-M_alt 'F -4 3 m'
_space_group_IT_number 216
_space_group_name_Hall 'F -4 2 3'
_cell_length_a 6.885
_cell_length_b 6.885
_cell_length_c 6.885
_cell_angle_alpha 90.00
_cell_angle_beta 90.00
_cell_angle_gamma 90.00
loop_
_atom_site_label
_atom_site_type_symbol
_atom_site_fract_x
_atom_site_fract_y
_atom_site_fract_z
_atom_site_occupancy
Dy1 Dy 0.000 0.000 0.000 1
Tm1 Tm 0.000 0.000 0.500 1
Pd1 Pd 0.250 0.250 0.750 1
Rh1 Rh 0.250 0.250 0.250 1
```



Most stable structure, least stable structure: #P, #Q.